(1)
Entry from Alexandria: a geometry-optimized SrLaZr2 structure (PBE).

The structure belongs to space group F-43m (No. 216); the cell edges are 7.836, 7.836 and 7.836 Å and the angles 90.00°, 90.00° and 90.00°. The distinct sites, in fractional coordinates, are Sr at (0.000, 0.000, 0.000), La at (0.250, 0.250, 0.250), Zr at (0.000, 0.000, 0.500) and Zr at (0.250, 0.250, 0.750).

As for the calculated formation energy: 2.0 eV per formula unit. Its magnetic moment is 1.38 μB per formula unit. For the total energy, the calculation gives -5.43 eV per atom. The energy above the lowest structure with this stoichiometry is 258 meV/atom. As for the density of states at the Fermi level: 1.83 states/eV/atom.

---

(2)
Entry from Alexandria: a geometry-optimized DyAl2ZnAg4 structure (PBE).

The structure belongs to space group R-3m (No. 166, hexagonal axes); the cell edges are 4.4991, 4.4991 and 25.6462 Å and the angles 90.00°, 90.00° and 120.00°. The distinct sites, in fractional coordinates, are Dy at (0.0000, 0.0000, 0.0000), Al at (0.0000, 0.0000, 0.2494), Zn at (0.0000, 0.0000, 0.5000), Ag at (0.0000, 0.0000, 0.1321) and Ag at (0.0000, 0.0000, 0.3970).

As for the calculated formation energy: -1.3 eV per formula unit. Its magnetic moment is 0.00 μB per formula unit. For the total energy, the calculation gives -3.26 eV per atom. As for the density of states at the Fermi level: 0.60 states/eV/atom.

---

(3)
Entry from Alexandria: a geometry-optimized NpSc2Si2Ru5 structure (PBE).

The structure belongs to space group P4/mbm (No. 127); the cell edges are 9.735, 9.735 and 3.376 Å and the angles 90.00°, 90.00° and 90.00°. The distinct sites, in fractional coordinates, are Np at (0.000, 0.000, 0.000), Sc at (0.169, 0.331, 0.000), Si at (0.127, 0.627, 0.000), Ru at (0.000, 0.500, 0.500) and Ru at (0.070, 0.793, 0.500).

The value obtained for the uncorrected formation energy is -0.60 eV per atom. Its magnetic moment is 1.23 μB per formula unit. For the total energy, the calculation gives -8.89 eV per atom. As for the density of states at the Fermi level: 0.85 states/eV/atom.